(1)
Compound: Nd2GdO4
Source: the Open Quantum Materials Database
Functional: PBE
Structure: optimized geometry

Summary:
Total moment   0.4 μB/f.u.
Raw total energy   -7.939 eV/atom
Space group   Fd-3m (227)

Structure (POSCAR):
```
Nd2GdO4
1.0
4.940 -4.941 0.000
-4.940 0.000 -4.941
4.940 4.941 0.000
Nd O Gd
4 8 2
direct
0.375 0.750 0.625 Nd
0.375 0.750 0.125 Nd
0.875 0.250 0.625 Nd
0.375 0.250 0.625 Nd
0.128 0.256 0.872 O
0.128 0.256 0.384 O
0.616 0.744 0.872 O
0.622 0.756 0.378 O
0.128 0.744 0.872 O
0.622 0.244 0.866 O
0.134 0.756 0.378 O
0.622 0.244 0.378 O
0.750 0.500 0.250 Gd
0.000 0.000 0.000 Gd
```



(2)
Compound: Nd2Gd2O5
Source: the Open Quantum Materials Database
Functional: PBE
Structure: optimized geometry

Summary:
Polymorph energy (0 for the lowest one)   137.8 meV per atom
Total moment   1.3 μB/f.u.
Raw total energy   -7.465 eV/atom
Space group   P4/mmm (123)

Structure (POSCAR):
```
Nd2Gd2O5
1.0
-6.081 -4.175 -1.015
1.578 -2.993 2.855
-2.009 2.117 3.330
Nd O Gd
2 5 2
direct
0.000 0.000 0.000 Nd
0.500 0.000 0.000 Nd
0.224 0.500 0.000 O
0.224 0.000 0.500 O
0.776 0.500 0.000 O
0.500 0.500 0.500 O
0.776 0.000 0.500 O
0.780 0.500 0.500 Gd
0.220 0.500 0.500 Gd
```



(3)
Compound: Nd2Gd2O5
Source: the Open Quantum Materials Database
Functional: PBE
Structure: optimized geometry

Summary:
Polymorph energy (0 for the lowest one)   0.0 meV per atom
Total moment   1.4 μB/f.u.
Raw total energy   -7.603 eV/atom
Space group   P4/mmm (123)

Structure (POSCAR):
```
Nd2Gd2O5
1.0
10.086 0.000 0.000
0.000 3.935 0.000
0.000 0.000 3.935
O Nd Gd
5 2 2
direct
0.863 0.000 0.500 O
0.137 0.000 0.500 O
0.500 0.500 0.500 O
0.863 0.500 0.000 O
0.137 0.500 0.000 O
0.759 0.500 0.500 Nd
0.241 0.500 0.500 Nd
0.500 0.000 0.000 Gd
0.000 0.000 0.000 Gd
```



(4)
Compound: NdGdP2Os2O2
Source: the Open Quantum Materials Database
Functional: PBE
Structure: optimized geometry

Summary:
Total moment   0.0 μB/f.u.
Raw total energy   -8.429 eV/atom
Space group   P4mm (99)

Structure (POSCAR):
```
NdGdP2Os2O2
1.0
-3.446 -1.967 0.654
1.104 -0.669 3.808
-3.539 6.947 2.247
Os Nd O P Gd
2 1 2 2 1
direct
0.000 0.500 0.498 Os
0.500 0.000 0.498 Os
0.000 0.000 0.858 Nd
0.000 0.500 0.006 O
0.500 0.000 0.006 O
0.500 0.500 0.649 P
0.000 0.000 0.349 P
0.500 0.500 0.138 Gd
```



(5)
Compound: NdGdPO
Source: the Open Quantum Materials Database
Functional: PBE
Structure: optimized geometry

Summary:
Polymorph energy (0 for the lowest one)   173.4 meV per atom
Total moment   0.0 μB/f.u.
Raw total energy   -6.758 eV/atom
Space group   P4/nmm (129)

Structure (POSCAR):
```
NdGdPO
1.0
-0.989 -0.552 4.184
4.108 -1.110 0.825
1.994 8.572 1.602
O P Nd Gd
2 2 2 2
direct
0.500 0.500 0.000 O
0.000 0.000 0.000 O
0.000 0.500 0.708 P
0.500 0.000 0.292 P
0.000 0.000 0.500 Nd
0.500 0.500 0.500 Nd
0.000 0.500 0.100 Gd
0.500 0.000 0.900 Gd
```



(6)
Compound: NdGdPO
Source: the Open Quantum Materials Database
Functional: PBE
Structure: optimized geometry

Summary:
Polymorph energy (0 for the lowest one)   18.6 meV per atom
Total moment   0.0 μB/f.u.
Raw total energy   -6.912 eV/atom
Space group   Pmc2_1 (26)

Structure (POSCAR):
```
NdGdPO
1.0
-0.541 4.041 -1.238
-7.278 -0.061 2.978
1.964 1.744 4.835
P O Gd Nd
2 2 2 2
direct
0.000 0.148 0.939 P
0.000 0.852 0.439 P
0.500 0.329 0.437 O
0.500 0.671 0.937 O
0.000 0.204 0.439 Gd
0.000 0.796 0.939 Gd
0.500 0.634 0.439 Nd
0.500 0.366 0.939 Nd
```



(7)
Compound: NdGdPO
Source: the Open Quantum Materials Database
Functional: PBE
Structure: optimized geometry

Summary:
Polymorph energy (0 for the lowest one)   93.7 meV per atom
Total moment   0.0 μB/f.u.
Raw total energy   -6.837 eV/atom
Space group   P4/nmm (129)

Structure (POSCAR):
```
NdGdPO
1.0
-1.787 0.823 3.933
0.649 -4.189 1.172
8.002 2.132 3.189
O P Gd Nd
2 2 2 2
direct
0.500 0.500 0.000 O
0.000 0.000 0.000 O
0.500 0.000 0.309 P
0.000 0.500 0.691 P
0.000 0.000 0.500 Gd
0.500 0.500 0.500 Gd
0.500 0.000 0.890 Nd
0.000 0.500 0.110 Nd
```



(8)
Compound: NdGdPO
Source: the Open Quantum Materials Database
Functional: PBE
Structure: optimized geometry

Summary:
Polymorph energy (0 for the lowest one)   0.0 meV per atom
Total moment   0.0 μB/f.u.
Raw total energy   -6.931 eV/atom
Space group   Pmc2_1 (26)

Structure (POSCAR):
```
NdGdPO
1.0
-3.580 -1.294 -2.024
-1.842 -4.250 5.976
-2.975 4.575 2.336
Gd O P Nd
2 2 2 2
direct
0.500 0.879 0.002 Gd
0.500 0.121 0.502 Gd
0.500 0.165 0.877 O
0.500 0.835 0.377 O
0.000 0.671 0.935 P
0.000 0.329 0.435 P
0.000 0.699 0.439 Nd
0.000 0.301 0.939 Nd
```



(9)
Compound: NdGdP2Os2S2
Source: the Open Quantum Materials Database
Functional: PBE
Structure: optimized geometry

Summary:
Total moment   0.0 μB/f.u.
Raw total energy   -7.368 eV/atom
Space group   P4mm (99)

Structure (POSCAR):
```
NdGdP2Os2S2
1.0
4.171 0.000 0.000
0.000 4.171 0.000
0.000 0.000 8.849
Os P Nd S Gd
2 2 1 2 1
direct
0.000 0.500 0.497 Os
0.500 0.000 0.497 Os
0.500 0.500 0.628 P
0.000 0.000 0.367 P
0.000 0.000 0.796 Nd
0.500 0.000 0.006 S
0.000 0.500 0.006 S
0.500 0.500 0.203 Gd
```



(10)
Compound: NdGdP2Os2Se2
Source: the Open Quantum Materials Database
Functional: PBE
Structure: optimized geometry

Summary:
Total moment   0.0 μB/f.u.
Raw total energy   -7.134 eV/atom
Space group   P4mm (99)

Structure (POSCAR):
```
NdGdP2Os2Se2
1.0
-0.002 1.328 -3.900
3.620 -1.860 -0.635
-4.460 -7.776 -2.645
Se P Gd Os Nd
2 2 1 2 1
direct
0.500 0.000 0.006 Se
0.000 0.500 0.006 Se
0.500 0.500 0.368 P
0.000 0.000 0.625 P
0.000 0.000 0.235 Gd
0.000 0.500 0.496 Os
0.500 0.000 0.496 Os
0.500 0.500 0.767 Nd
```



(11)
Compound: NdGd2Tm3OsS2
Source: the Open Quantum Materials Database
Functional: PBE
Structure: optimized geometry

Summary:
Total moment   0.0 μB/f.u.
Raw total energy   -6.052 eV/atom
Space group   Amm2 (38)

Structure (POSCAR):
```
NdGd2Tm3OsS2
1.0
-2.713 2.425 -1.616
-5.672 -3.795 3.830
3.471 6.141 3.388
Tm Gd Os S Nd
3 2 1 2 1
direct
0.500 0.754 0.997 Tm
0.500 0.997 0.754 Tm
0.500 0.252 0.252 Tm
0.000 0.406 0.999 Gd
0.000 0.999 0.406 Gd
0.000 0.013 0.013 Os
0.500 0.329 0.667 S
0.500 0.667 0.329 S
0.000 0.583 0.583 Nd
```



(12)
Compound: NdGd2Tm3OsSe2
Source: the Open Quantum Materials Database
Functional: PBE
Structure: optimized geometry

Summary:
Total moment   0.0 μB/f.u.
Raw total energy   -5.917 eV/atom
Space group   Amm2 (38)

Structure (POSCAR):
```
NdGd2Tm3OsSe2
1.0
4.002 0.000 0.000
0.000 6.913 4.047
0.000 -6.913 4.047
Nd Tm Gd Se Os
1 3 2 2 1
direct
0.500 0.588 0.588 Nd
0.000 0.997 0.759 Tm
0.000 0.246 0.246 Tm
0.000 0.759 0.997 Tm
0.500 0.401 0.999 Gd
0.500 0.999 0.401 Gd
0.000 0.667 0.329 Se
0.000 0.329 0.667 Se
0.500 0.014 0.014 Os
```